ScPRh after structural relaxation. Source: Alexandria via LeMat-Bulk, functional GGA-PBEsol.

Results
Space group: Imm2 (44)
Uncorrected energy (eV/f.u.): -22.73
Crystal system: orthorhombic

Structure (CIF):
```
data_ScPRh
_chemical_formula_sum 'Sc1 P1 Rh1'
_space_group_name_H-M_alt 'P 1'
_space_group_IT_number 1
_cell_length_a 3.118
_cell_length_b 3.827
_cell_length_c 4.586
_cell_angle_alpha 114.66
_cell_angle_beta 109.87
_cell_angle_gamma 90.00
loop_
_space_group_symop_operation_xyz
'x,y,z'
loop_
_atom_site_label
_atom_site_fract_x
_atom_site_fract_y
_atom_site_fract_z
P1 0.006 0.006 0.012
Rh1 0.323 0.323 0.645
Sc1 0.671 0.671 0.342
```

ScPRh2 after structural relaxation. Source: Alexandria via LeMat-Bulk, functional GGA-PBEsol.

Results
Space group: I-4m2 (119)
Uncorrected energy (eV/f.u.): -31.72
Crystal system: tetragonal

Structure (CIF):
```
data_ScPRh2
_chemical_formula_sum 'Sc1 P1 Rh2'
_space_group_name_H-M_alt 'P 1'
_space_group_IT_number 1
_cell_length_a 3.683
_cell_length_b 3.683
_cell_length_c 4.896
_cell_angle_alpha 112.09
_cell_angle_beta 112.09
_cell_angle_gamma 90.00
loop_
_space_group_symop_operation_xyz
'x,y,z'
loop_
_atom_site_label
_atom_site_fract_x
_atom_site_fract_y
_atom_site_fract_z
P1 0.250 0.750 0.500
Rh1 0.000 0.000 0.000
Rh2 0.750 0.250 0.500
Sc1 0.500 0.500 0.000
```

Sc3P2Rh5 after structural relaxation. Source: Alexandria via LeMat-Bulk, functional GGA-PBEsol.

Results
Space group: P4/mbm (127)
Uncorrected energy (eV/f.u.): -82.24
Crystal system: tetragonal

Structure (CIF):
```
data_Sc3P2Rh5
_chemical_formula_sum 'Sc6 P4 Rh10'
_space_group_name_H-M_alt 'P 1'
_space_group_IT_number 1
_cell_length_a 3.508
_cell_length_b 9.248
_cell_length_c 9.248
_cell_angle_alpha 90.00
_cell_angle_beta 90.00
_cell_angle_gamma 90.00
loop_
_space_group_symop_operation_xyz
'x,y,z'
loop_
_atom_site_label
_atom_site_fract_x
_atom_site_fract_y
_atom_site_fract_z
P1 0.000 0.127 0.627
P2 0.000 0.873 0.373
P3 0.000 0.373 0.127
P4 0.000 0.627 0.873
Rh1 0.500 0.215 0.071
Rh2 0.500 0.785 0.929
Rh3 0.500 0.929 0.215
Rh4 0.500 0.071 0.785
Rh5 0.500 0.285 0.571
Rh6 0.500 0.715 0.429
Rh7 0.500 0.571 0.715
Rh8 0.500 0.429 0.285
Rh9 0.500 0.000 0.500
Rh10 0.500 0.500 0.000
Sc1 0.000 0.328 0.828
Sc2 0.000 0.672 0.172
Sc3 0.000 0.172 0.328
Sc4 0.000 0.828 0.672
Sc5 0.000 0.000 0.000
Sc6 0.000 0.500 0.500
```

ScPRh2 after structural relaxation. Source: Alexandria via LeMat-Bulk, functional GGA-PBEsol.

Results
Space group: Amm2 (38)
Uncorrected energy (eV/f.u.): -31.80
Crystal system: orthorhombic

Structure (CIF):
```
data_ScPRh2
_chemical_formula_sum 'Sc1 P1 Rh2'
_space_group_name_H-M_alt 'P 1'
_space_group_IT_number 1
_cell_length_a 3.577
_cell_length_b 3.980
_cell_length_c 4.633
_cell_angle_alpha 90.00
_cell_angle_beta 112.71
_cell_angle_gamma 90.00
loop_
_space_group_symop_operation_xyz
'x,y,z'
loop_
_atom_site_label
_atom_site_fract_x
_atom_site_fract_y
_atom_site_fract_z
P1 0.313 0.500 0.626
Rh1 0.185 0.000 0.370
Rh2 0.589 0.500 0.178
Sc1 0.905 0.000 0.809
```

P2RhSe after structural relaxation. Source: Alexandria via LeMat-Bulk, functional GGA-PBEsol.

Results
Space group: P4/mmm (123)
Raw formation energy (meV per atom): 52
Crystal system: tetragonal

Structure (CIF):
```
data_P2RhSe
_chemical_formula_sum 'P2 Rh1 Se1'
_space_group_name_H-M_alt 'P 1'
_space_group_IT_number 1
_cell_length_a 2.792
_cell_length_b 2.792
_cell_length_c 8.336
_cell_angle_alpha 90.00
_cell_angle_beta 90.00
_cell_angle_gamma 90.00
loop_
_space_group_symop_operation_xyz
'x,y,z'
loop_
_atom_site_label
_atom_site_fract_x
_atom_site_fract_y
_atom_site_fract_z
P1 0.000 0.000 0.814
P2 0.000 0.000 0.186
Rh1 0.500 0.500 0.000
Se1 0.500 0.500 0.500
```

PRh4Se after structural relaxation. Source: Alexandria via LeMat-Bulk, functional GGA-PBEsol.

Results
Space group: F-43m (216)
Raw formation energy (meV per atom): 620
Crystal system: cubic

Structure (CIF):
```
data_PRh4Se
_chemical_formula_sum 'P1 Rh4 Se1'
_space_group_name_H-M_alt 'P 1'
_space_group_IT_number 1
_cell_length_a 5.067
_cell_length_b 5.067
_cell_length_c 5.067
_cell_angle_alpha 60.00
_cell_angle_beta 60.00
_cell_angle_gamma 60.00
loop_
_space_group_symop_operation_xyz
'x,y,z'
loop_
_atom_site_label
_atom_site_fract_x
_atom_site_fract_y
_atom_site_fract_z
P1 0.000 0.000 0.000
Rh1 0.875 0.375 0.375
Rh2 0.375 0.375 0.375
Rh3 0.375 0.375 0.875
Rh4 0.375 0.875 0.375
Se1 0.750 0.750 0.750
```

P3RhSe after structural relaxation. Source: Alexandria via LeMat-Bulk, functional GGA-PBEsol.

Results
Space group: Pm-3m (221)
Raw formation energy (meV per atom): 634
Crystal system: cubic

Structure (CIF):
```
data_P3RhSe
_chemical_formula_sum 'P3 Rh1 Se1'
_space_group_name_H-M_alt 'P 1'
_space_group_IT_number 1
_cell_length_a 4.537
_cell_length_b 4.537
_cell_length_c 4.537
_cell_angle_alpha 90.00
_cell_angle_beta 90.00
_cell_angle_gamma 90.00
loop_
_space_group_symop_operation_xyz
'x,y,z'
loop_
_atom_site_label
_atom_site_fract_x
_atom_site_fract_y
_atom_site_fract_z
P1 0.000 0.500 0.000
P2 0.000 0.000 0.500
P3 0.500 0.000 0.000
Rh1 0.000 0.000 0.000
Se1 0.500 0.500 0.500
```

P2RhSe after structural relaxation. Source: Alexandria via LeMat-Bulk, functional GGA-PBEsol.

Results
Space group: Cmm2 (35)
Raw formation energy (meV per atom): 268
Crystal system: orthorhombic

Structure (CIF):
```
data_P2RhSe
_chemical_formula_sum 'P2 Rh1 Se1'
_space_group_name_H-M_alt 'P 1'
_space_group_IT_number 1
_cell_length_a 3.049
_cell_length_b 2.841
_cell_length_c 8.643
_cell_angle_alpha 90.00
_cell_angle_beta 90.00
_cell_angle_gamma 122.45
loop_
_space_group_symop_operation_xyz
'x,y,z'
loop_
_atom_site_label
_atom_site_fract_x
_atom_site_fract_y
_atom_site_fract_z
P1 0.000 0.000 0.058
P2 0.500 0.000 0.262
Rh1 0.000 0.000 0.468
Se1 0.500 0.000 0.711
```

| no. | ρ (kg/m³) | D(E_F) (states/eV/cell) |
| --- | --- | --- |
| 1 | 6438 | 2.075 |
| 2 | 8318 | 2.745 |
| 3 | 7874 | 7.870 |
| 4 | 7688 | 1.934 |
| 5 | 6229 | 2.768 |
| 6 | 9415 | 7.428 |
| 7 | 4887 | 5.070 |
| 8 | 6408 | 2.093 |